No. 1
DFT (PBE) results for a relaxed structure of NiPHS2.

a b c (Å): 4.540 4.540 3.020
angles (deg): 90.00 90.00 90.00
Element x y z (fractional)
Ni (0.500, 0.500, 0.500)
S (0.500, 0.000, 0.000)
S (0.000, 0.500, 0.000)
H (0.000, 0.000, 0.000)
P (0.000, 0.000, 0.500)

## Properties
**ΔE to the lowest computed polymorph**: 0.000 eV/f.u.

No. 2
DFT (PBE) results for a relaxed structure of NaGaAgCl2.

a b c (Å): 5.129 5.129 5.395
angles (deg): 90.00 90.00 90.00
Element x y z (fractional)
Ga (0.500, 0.500, 0.500)
Cl (0.500, 0.000, 0.000)
Cl (0.000, 0.500, 0.000)
Na (0.000, 0.000, 0.000)
Ag (0.000, 0.000, 0.500)

## Properties
**Electronic total energy**: -2.47 eV/atom

No. 3
DFT (PBE) results for a relaxed structure of CeVGe3.

a b c (Å): 3.853 4.684 5.809
angles (deg): 90.00 90.00 90.00
Element x y z (fractional)
Ce (0.000, 0.500, 0.500)
Ge (0.500, 0.000, 0.286)
Ge (0.500, 0.000, 0.714)
Ge (0.000, 0.500, 0.000)
V (0.000, 0.000, 0.000)

## Properties
**Energy relative to the elements**: -0.25 eV/atom

No. 4
DFT (PBE) results for a relaxed structure of TbInSnBr6.

a b c (Å): 7.564 7.563 7.106
angles (deg): 89.99 89.99 60.00
Element x y z (fractional)
Tb (0.333, 0.333, 0.500)
Br (0.628, 0.355, 0.730)
Br (0.628, 0.017, 0.270)
Br (0.017, 0.628, 0.730)
Br (0.017, 0.355, 0.270)
Br (0.355, 0.017, 0.730)
Br (0.355, 0.628, 0.270)
In (0.000, 0.000, 0.000)
Sn (0.667, 0.667, 0.500)

## Properties
**Electronic total energy**: -3.63 eV/atom

No. 5
DFT (PBE) results for a relaxed structure of AcAgSbTe3.

a b c (Å): 4.619 9.391 9.666
angles (deg): 98.45 90.00 90.00
Element x y z (fractional)
Te (0.750, 0.239, 0.495)
Te (0.250, 0.575, 0.853)
Te (0.250, 0.087, 0.870)
Te (0.750, 0.425, 0.147)
Te (0.750, 0.913, 0.130)
Te (0.250, 0.761, 0.505)
Sb (0.750, 0.333, 0.854)
Sb (0.250, 0.667, 0.146)
Ac (0.250, 0.172, 0.229)
Ac (0.750, 0.828, 0.771)
Ag (0.250, 0.077, 0.571)
Ag (0.750, 0.923, 0.429)

## Properties
**Electronic total energy**: -3.99 eV/atom

No. 6
DFT (PBE) results for a relaxed structure of MnFeRe.

a b c (Å): 3.963 3.963 3.963
angles (deg): 60.00 60.00 60.00
Element x y z (fractional)
Fe (0.750, 0.750, 0.750)
Re (0.500, 0.500, 0.500)
Mn (0.000, 0.000, 0.000)

## Properties
**ΔE to the lowest computed polymorph**: 1.821 eV/f.u.
**Energy relative to the elements**: 0.58 eV/atom

No. 7
DFT (PBE) results for a relaxed structure of MgSbPtW2.

a b c (Å): 4.865 4.783 4.865
angles (deg): 90.00 90.00 90.00
Element x y z (fractional)
Pt (0.000, 0.000, 0.000)
W (0.000, 0.000, 0.500)
W (0.500, 0.000, 0.000)
Sb (0.500, 0.500, 0.500)
Mg (0.000, 0.500, 0.000)

## Properties
**ΔE to the lowest computed polymorph**: 0.000 eV/f.u.

No. 8
DFT (PBE) results for a relaxed structure of Pd2Pb6Au.

a b c (Å): 7.009 6.948 9.913
angles (deg): 90.00 98.41 90.00
Element x y z (fractional)
Pd (0.032, 0.644, 0.226)
Pd (0.468, 0.144, 0.274)
Pd (0.968, 0.356, 0.774)
Pd (0.532, 0.856, 0.726)
Pb (0.684, 0.160, 0.908)
Pb (0.316, 0.840, 0.092)
Pb (0.676, 0.497, 0.281)
Pb (0.176, 0.003, 0.781)
Pb (0.144, 0.314, 0.067)
Pb (0.356, 0.814, 0.433)
Pb (0.816, 0.660, 0.592)
Pb (0.324, 0.503, 0.719)
Pb (0.184, 0.340, 0.408)
Pb (0.856, 0.686, 0.933)
Pb (0.644, 0.186, 0.567)
Pb (0.824, 0.997, 0.219)
Au (0.500, 0.500, 0.000)
Au (0.000, 0.000, 0.500)

## Properties
**ΔE to the lowest computed polymorph**: 0.355 eV/f.u.
**Energy relative to the elements**: -0.09 eV/atom

Number 1: N(E_F) 0.493 states/eV per atom. Number 2: N(E_F) 0.566 states/eV per atom. Number 3: N(E_F) 1.419 states/eV per atom. Number 4: N(E_F) 0.000 states/eV per atom. Number 5: N(E_F) 0.399 states/eV per atom. Number 6: N(E_F) 1.486 states/eV per atom. Number 7: N(E_F) 1.005 states/eV per atom. Number 8: N(E_F) 0.532 states/eV per atom.